Here is a relaxed structure of LaVSe2Br from the Alexandria database. Energies are from GGA-PBE.

Results
As for the symmetry: P4/mmm, No. 123. The relative energy among the computed polymorphs comes out at 0.668 eV/atom. Its uncorrected formation energy is -211 meV per atom. As for the total energy: -4.7486 eV per atom.

abc: 5.767 5.767 5.719
angles: 90.00 90.00 90.00
Fractional positions:
La  0.000  0.000  0.000
V  0.500  0.500  0.500
Se  0.000  0.500  0.000
Se  0.500  0.000  0.000
Br  0.000  0.000  0.500



Here is a relaxed structure of LaVSeBr2 from the Alexandria database. Energies are from GGA-PBE.

Results
As for the symmetry: P4/mmm, No. 123. Its uncorrected formation energy is -473 meV per atom. As for the total energy: -4.6484 eV per atom.

abc: 5.820 5.820 5.789
angles: 90.00 90.00 90.00
Fractional positions:
La  0.000  0.000  0.000
V  0.500  0.500  0.500
Se  0.000  0.000  0.500
Br  0.000  0.500  0.000
Br  0.500  0.000  0.000



Here is a relaxed structure of LaVSe2Br from the Alexandria database. Energies are from GGA-PBE.

Results
As for the symmetry: P4/mmm, No. 123. The relative energy among the computed polymorphs comes out at 0.000 eV/atom. Its uncorrected formation energy is -879 meV per atom. As for the total energy: -5.4168 eV per atom.

abc: 4.910 4.910 4.944
angles: 90.00 90.00 90.00
Fractional positions:
La  0.000  0.000  0.000
V  0.500  0.500  0.500
Se  0.000  0.500  0.500
Se  0.500  0.000  0.500
Br  0.500  0.500  0.000



Here is a relaxed structure of LaYSeBr2 from the Alexandria database. Energies are from GGA-PBE.

Results
As for the symmetry: P4/mmm, No. 123. Its uncorrected formation energy is -1147 meV per atom. As for the total energy: -4.7914 eV per atom.

abc: 5.437 5.437 5.483
angles: 90.00 90.00 90.00
Fractional positions:
La  0.000  0.000  0.000
Y  0.500  0.500  0.500
Se  0.500  0.500  0.000
Br  0.000  0.500  0.500
Br  0.500  0.000  0.500



Here is a relaxed structure of LaZnSe2Br from the Alexandria database. Energies are from GGA-PBE.

Results
As for the symmetry: P4/mmm, No. 123. The relative energy among the computed polymorphs comes out at 0.403 eV/atom. Its uncorrected formation energy is -550 meV per atom. As for the total energy: -3.5182 eV per atom.

abc: 5.832 5.832 5.799
angles: 90.00 90.00 90.00
Fractional positions:
La  0.000  0.000  0.000
Zn  0.500  0.500  0.500
Se  0.000  0.500  0.000
Se  0.500  0.000  0.000
Br  0.000  0.000  0.500



Here is a relaxed structure of LaZnSe2Br from the Alexandria database. Energies are from GGA-PBE.

Results
As for the symmetry: P4/mmm, No. 123. The relative energy among the computed polymorphs comes out at 0.000 eV/atom. Its uncorrected formation energy is -953 meV per atom. As for the total energy: -3.9215 eV per atom.

abc: 5.071 5.071 4.950
angles: 90.00 90.00 90.00
Fractional positions:
La  0.000  0.000  0.000
Zn  0.500  0.500  0.500
Se  0.000  0.500  0.500
Se  0.500  0.000  0.500
Br  0.500  0.500  0.000



Here is a relaxed structure of LaZnSeBr2 from the Alexandria database. Energies are from GGA-PBE.

Results
As for the symmetry: P4/mmm, No. 123. Its uncorrected formation energy is -940 meV per atom. As for the total energy: -3.5465 eV per atom.

abc: 5.827 5.827 5.933
angles: 90.00 90.00 90.00
Fractional positions:
La  0.000  0.000  0.000
Zn  0.500  0.500  0.500
Se  0.000  0.000  0.500
Br  0.000  0.500  0.000
Br  0.500  0.000  0.000



Here is a relaxed structure of La6ZnSe2Br3 from the Alexandria database. Energies are from GGA-PBE.

Results
As for the symmetry: C2/m, No. 12. Its uncorrected formation energy is -1366 meV per atom. As for the total energy: -4.9353 eV per atom.

abc: 7.526 7.526 7.653
angles: 99.37 99.37 120.17
Fractional positions:
La  0.091  0.424  0.772
La  0.241  0.241  0.227
La  0.424  0.091  0.772
La  0.576  0.909  0.228
La  0.759  0.759  0.773
La  0.909  0.576  0.228
Zn  0.500  0.500  0.000
Se  0.167  0.833  0.000
Se  0.833  0.167  0.000
Br  0.000  0.000  0.500
Br  0.336  0.664  0.500
Br  0.664  0.336  0.500



Here is a relaxed structure of La3SiBr3 from the Alexandria database. Energies are from GGA-PBE.

Results
As for the symmetry: C2/m, No. 12. Its uncorrected formation energy is -1021 meV per atom. As for the total energy: -4.6248 eV per atom.

abc: 8.513 8.513 7.337
angles: 91.20 91.20 112.72
Fractional positions:
La  0.068  0.068  0.243
La  0.204  0.477  0.814
La  0.477  0.204  0.814
La  0.523  0.796  0.186
La  0.796  0.523  0.186
La  0.932  0.932  0.757
Si  0.202  0.202  0.598
Si  0.798  0.798  0.402
Br  0.177  0.823  0.000
Br  0.278  0.722  0.500
Br  0.387  0.387  0.157
Br  0.613  0.613  0.843
Br  0.722  0.278  0.500
Br  0.823  0.177  0.000



Here is a relaxed structure of LaSiBr2 from the Alexandria database. Energies are from GGA-PBE.

Results
As for the symmetry: Pmm2, No. 25. The relative energy among the computed polymorphs comes out at 0.144 eV/atom. Its uncorrected formation energy is -766 meV per atom. As for the total energy: -4.1899 eV per atom.

abc: 3.893 4.638 6.339
angles: 90.00 90.00 90.00
Fractional positions:
La  0.000  0.000  0.000
Si  0.500  0.500  0.142
Br  0.000  0.000  0.460
Br  0.500  0.500  0.753



Here is a relaxed structure of La2SiBr from the Alexandria database. Energies are from GGA-PBE.

Results
As for the symmetry: Fm-3m, No. 225. The relative energy among the computed polymorphs comes out at 0.215 eV/atom. Its uncorrected formation energy is -936 meV per atom. As for the total energy: -5.1738 eV per atom.

abc: 7.520 7.520 7.520
angles: 90.00 90.00 90.00
Fractional positions:
La  0.250  0.250  0.250
La  0.250  0.250  0.750
La  0.250  0.750  0.250
La  0.250  0.750  0.750
La  0.750  0.250  0.250
La  0.750  0.250  0.750
La  0.750  0.750  0.250
La  0.750  0.750  0.750
Si  0.000  0.000  0.000
Si  0.000  0.500  0.500
Si  0.500  0.000  0.500
Si  0.500  0.500  0.000
Br  0.000  0.000  0.500
Br  0.000  0.500  0.000
Br  0.500  0.000  0.000
Br  0.500  0.500  0.500



Here is a relaxed structure of LaSiBr from the Alexandria database. Energies are from GGA-PBE.

Results
As for the symmetry: F-43m, No. 216. Its uncorrected formation energy is -234 meV per atom. As for the total energy: -4.2415 eV per atom.

abc: 6.973 6.973 6.973
angles: 90.00 90.00 90.00
Fractional positions:
La  0.000  0.000  0.000
La  0.000  0.500  0.500
La  0.500  0.000  0.500
La  0.500  0.500  0.000
Si  0.000  0.000  0.500
Si  0.000  0.500  0.000
Si  0.500  0.000  0.000
Si  0.500  0.500  0.500
Br  0.250  0.250  0.750
Br  0.250  0.750  0.250
Br  0.750  0.250  0.250
Br  0.750  0.750  0.750



Here is a relaxed structure of LaSiBr from the Alexandria database. Energies are from GGA-PBE.

Results
As for the symmetry: I4mm, No. 107. Its uncorrected formation energy is -531 meV per atom. As for the total energy: -4.5387 eV per atom.

abc: 3.556 3.556 15.226
angles: 90.00 90.00 90.00
Fractional positions:
La  0.000  0.000  0.000
La  0.500  0.500  0.500
Si  0.000  0.000  0.383
Si  0.500  0.500  0.883
Br  0.000  0.000  0.629
Br  0.500  0.500  0.129